[1]
DFT (GGA-PBE) results for a relaxed structure of HfTiV.

## Properties
- DOS at the Fermi energy: 3.87 states/eV per cell
- Total energy: -26.584 eV for the cell shown
- ΔE_f: 0.38 eV/f.u.
- Total magnetic moment: 0.54 Bohr magnetons per cell
- Space group: No. 156
- Distance to the lowest polymorph of the same formula: 0 meV per atom

Cell lengths 2.9628, 4.5554, 4.5554 Å; angles 120.00, 90.00, 90.00 degrees
Closest atoms and distances in Å follow each position.
Sites, in units of the cell vectors:
Hf: 0.0118 0.0000 0.0000  6 V 2.91-3.15, 6 Ti 2.95-3.09, 2 Hf 2.96
V: 0.4294 0.3333 0.6667  3 Ti 2.66, 3 Hf 2.91, 2 V 2.96
Ti: 0.5587 0.6667 0.3333  3 V 2.66, 3 Hf 2.95, 2 Ti 2.96

---

[2]
DFT (GGA-PBE) results for a relaxed structure of Tl2InRe.

## Properties
- DOS at the Fermi energy: 3.24 states/eV per cell
- Total energy: -17.681 eV for the cell shown
- ΔE_f: 2.24 eV/f.u.
- Total magnetic moment: 0.00 Bohr magnetons per cell
- Space group: No. 71
- Distance to the lowest polymorph of the same formula: 0 meV per atom

Cell lengths 7.7795, 7.7795, 4.8046 Å; angles 72.01, 72.01, 21.73 degrees
Closest atoms and distances in Å follow each position.
Sites, in units of the cell vectors:
Re: 0.7500 0.7500 0.7500  4 In 2.81, 2 Re 2.93, 4 Tl 3.00
Tl: 0.4306 0.4306 0.5692  2 Tl 2.93, 2 Re 3.00
Tl: 0.0694 0.0694 0.9308  2 Tl 2.93, 2 Re 3.00
In: 0.2500 0.2500 0.2500  4 Re 2.81, 2 In 2.93

---

[3]
DFT (GGA-PBE) results for a relaxed structure of La2InGaH.

## Properties
- DOS at the Fermi energy: 4.26 states/eV per cell
- Total energy: -21.024 eV for the cell shown
- Total magnetic moment: 0.00 Bohr magnetons per cell
- Space group: No. 123
- Distance to the lowest polymorph of the same formula: 12 meV per atom

Cell lengths 4.9661, 4.9661, 4.6389 Å; angles 90.00, 90.00, 90.00 degrees
Closest atoms and distances in Å follow each position.
Sites, in units of the cell vectors:
Ga: 0.5000 0.5000 0.5000  8 La 3.40, 4 In 3.51
In: 0.0000 0.0000 0.5000  2 H 2.32
H: 0.0000 0.0000 0.0000  2 In 2.32, 4 La 2.48
La: 0.0000 0.5000 0.0000  2 H 2.48
La: 0.5000 0.0000 0.0000  2 H 2.48

---

Copy entry 3 word for word.
DFT (GGA-PBE) results for a relaxed structure of La2InGaH.

## Properties
- DOS at the Fermi energy: 4.26 states/eV per cell
- Total energy: -21.024 eV for the cell shown
- Total magnetic moment: 0.00 Bohr magnetons per cell
- Space group: No. 123
- Distance to the lowest polymorph of the same formula: 12 meV per atom

Cell lengths 4.9661, 4.9661, 4.6389 Å; angles 90.00, 90.00, 90.00 degrees
Closest atoms and distances in Å follow each position.
Sites, in units of the cell vectors:
Ga: 0.5000 0.5000 0.5000  8 La 3.40, 4 In 3.51
In: 0.0000 0.0000 0.5000  2 H 2.32
H: 0.0000 0.0000 0.0000  2 In 2.32, 4 La 2.48
La: 0.0000 0.5000 0.0000  2 H 2.48
La: 0.5000 0.0000 0.0000  2 H 2.48